No. 1
A relaxed structure of TeI4, computed with GGA-PBE.

Calculated values
formation energy (no corrections) = -0.0932 eV per atom
D(E_F) = 0.00 states/eV per cell
raw total energy = -0.14418 Ry per atom
offset from the most stable computed form = 0.011 eV/atom
SG = P2/c, No. 13

Structure (POSCAR):
```
TeI4
1.0
7.854 0.000 0.000
0.000 8.974 0.000
-1.524 0.000 7.396
Te I
2 8
direct
0.000 0.146 0.250
0.000 0.854 0.750
0.225 0.357 0.149
0.225 0.643 0.649
0.227 0.117 0.619
0.227 0.883 0.119
0.773 0.117 0.881
0.773 0.883 0.381
0.775 0.357 0.351
0.775 0.643 0.851
```

---

No. 2
A relaxed structure of TeI2, computed with GGA-PBE.

Calculated values
formation energy (no corrections) = 0.0058 eV per atom
D(E_F) = 1.74 states/eV per cell
raw total energy = -0.15250 Ry per atom
offset from the most stable computed form = 0.057 eV/atom
SG = Amm2, No. 38

Structure (POSCAR):
```
TeI2
1.0
5.970 0.000 0.000
0.000 4.155 0.000
0.000 0.000 11.200
Te I
2 4
direct
0.000 0.000 0.000
0.000 0.500 0.500
0.000 0.000 0.252
0.000 0.500 0.752
0.500 0.000 0.981
0.500 0.500 0.481
```